The following is a PBE-GGA calculation of a relaxed LiNdSc crystal, from the Alexandria database.

- DFT formation energy (eV per formula unit) = 1.25
- polymorph energy (0 for the lowest one) (eV per atom) = 0.303
- SG = Fmmm, No. 69

Cell lengths 11.7174, 11.7016, 3.9712 Å; angles 80.46, 80.01, 19.53 degrees
Last column: nearest neighbours and their distance in Å.
Positions (direct):
Li  0.2229  0.7771  0.2229  3 Li 2.53-2.79
Li  0.7771  0.2229  0.7771  3 Li 2.53-2.79
Nd  0.3747  0.3747  0.6253  2 Li 3.25, 4 Sc 3.46
Nd  0.6253  0.6253  0.3747  2 Li 3.25, 4 Sc 3.46
Sc  0.2500  0.2500  0.2500  4 Sc 2.77-2.84
Sc  0.7500  0.7500  0.7500  4 Sc 2.77-2.84



The following is a PBE-GGA calculation of a relaxed LiNdSc crystal, from the Alexandria database.

- DFT formation energy (eV per formula unit) = 0.34
- polymorph energy (0 for the lowest one) (eV per atom) = 0.000
- SG = I4mm, No. 107

Cell lengths 6.4248, 6.4248, 6.4248 Å; angles 147.18, 147.18, 47.10 degrees
Last column: nearest neighbours and their distance in Å.
Positions (direct):
Li  0.0000  0.0000  0.0000  4 Sc 3.02, 4 Nd 3.27
Nd  0.3274  0.3274  0.0000  4 Li 3.27, 5 Sc 3.43-3.62, 4 Nd 3.63
Sc  0.6346  0.6346  0.0000  4 Li 3.02



The following is a PBE-GGA calculation of a relaxed LiNd2ScSe4 crystal, from the Alexandria database.

- formation energy from raw total energies (eV per formula unit) = -13.6
- SG = P2/m, No. 10

Cell lengths 7.0036, 4.0719, 7.0733 Å; angles 90.00, 109.39, 90.00 degrees
Last column: nearest neighbours and their distance in Å.
Positions (direct):
Li  0.0000  0.0000  0.0000  6 Se 2.77-2.79
Nd  0.5000  0.0000  0.5000  6 Se 2.97-2.98
Nd  0.5000  0.5000  0.0000  6 Se 2.98
Sc  0.0000  0.5000  0.5000  6 Se 2.77-2.78
Se  0.2228  0.0000  0.7415  1 Li 2.77, 2 Sc 2.78, 3 Nd 2.98
Se  0.2252  0.5000  0.2435  1 Sc 2.77, 2 Li 2.79, 3 Nd 2.97-2.98
Se  0.7748  0.5000  0.7565  1 Sc 2.77, 2 Li 2.79, 3 Nd 2.97-2.98
Se  0.7772  0.0000  0.2585  1 Li 2.77, 2 Sc 2.78, 3 Nd 2.98



The following is a PBE-GGA calculation of a relaxed Li2NdSc3Se6 crystal, from the Alexandria database.

- formation energy from raw total energies (eV per formula unit) = -19.7
- SG = C2/m, No. 12

Cell lengths 6.7835, 6.7835, 6.9656 Å; angles 99.41, 99.41, 120.00 degrees
Last column: nearest neighbours and their distance in Å.
Positions (direct):
Li  0.1688  0.8312  0.0000  6 Se 2.79-2.82
Li  0.8312  0.1688  0.0000  6 Se 2.79-2.82
Nd  0.5000  0.5000  0.0000  6 Se 2.91
Sc  0.0000  0.0000  0.5000  6 Se 2.69-2.79
Sc  0.3361  0.6639  0.5000  6 Se 2.71-2.79
Sc  0.6639  0.3361  0.5000  6 Se 2.71-2.79
Se  0.0674  0.4130  0.7383  3 Sc 2.71-2.79, 2 Li 2.79-2.81, 1 Nd 2.91
Se  0.2411  0.2411  0.2608  3 Sc 2.69-2.77, 2 Li 2.82, 1 Nd 2.91
Se  0.4130  0.0674  0.7383  3 Sc 2.71-2.79, 2 Li 2.79-2.81, 1 Nd 2.91
Se  0.5870  0.9326  0.2617  3 Sc 2.71-2.79, 2 Li 2.79-2.81, 1 Nd 2.91
Se  0.7589  0.7589  0.7392  3 Sc 2.69-2.77, 2 Li 2.82, 1 Nd 2.91
Se  0.9326  0.5870  0.2617  3 Sc 2.71-2.79, 2 Li 2.79-2.81, 1 Nd 2.91



The following is a PBE-GGA calculation of a relaxed LiNd4Sc3Se8 crystal, from the Alexandria database.

- formation energy from raw total energies (eV per formula unit) = -27.3
- SG = R-3m, No. 166

Cell lengths 8.1485, 8.1485, 8.1485 Å; angles 59.39, 59.39, 59.39 degrees
Last column: nearest neighbours and their distance in Å.
Positions (direct):
Li  0.0000  0.0000  0.0000  6 Se 2.75
Nd  0.0000  0.0000  0.5000  6 Se 2.98
Nd  0.0000  0.5000  0.0000  6 Se 2.98
Nd  0.5000  0.0000  0.0000  6 Se 2.98
Nd  0.5000  0.5000  0.5000  6 Se 2.99
Sc  0.0000  0.5000  0.5000  6 Se 2.76
Sc  0.5000  0.0000  0.5000  6 Se 2.76
Sc  0.5000  0.5000  0.0000  6 Se 2.76
Se  0.2395  0.2395  0.7418  1 Li 2.75, 2 Sc 2.76, 3 Nd 2.98-2.99
Se  0.2395  0.7418  0.2395  1 Li 2.75, 2 Sc 2.76, 3 Nd 2.98-2.99
Se  0.2582  0.7605  0.7605  1 Li 2.75, 2 Sc 2.76, 3 Nd 2.98-2.99
Se  0.2593  0.2593  0.2593  3 Sc 2.76, 3 Nd 2.98
Se  0.7407  0.7407  0.7407  3 Sc 2.76, 3 Nd 2.98
Se  0.7418  0.2395  0.2395  1 Li 2.75, 2 Sc 2.76, 3 Nd 2.98-2.99
Se  0.7605  0.2582  0.7605  1 Li 2.75, 2 Sc 2.76, 3 Nd 2.98-2.99
Se  0.7605  0.7605  0.2582  1 Li 2.75, 2 Sc 2.76, 3 Nd 2.98-2.99



The following is a PBE-GGA calculation of a relaxed Li2NdScSe4 crystal, from the Alexandria database.

- formation energy from raw total energies (eV per formula unit) = -12.8
- SG = P2/m, No. 10

Cell lengths 6.8826, 4.0444, 7.0100 Å; angles 90.00, 109.82, 90.00 degrees
Last column: nearest neighbours and their distance in Å.
Positions (direct):
Li  0.0000  0.0000  0.0000  6 Se 2.76-2.77
Li  0.0000  0.5000  0.5000  6 Se 2.91-2.93
Nd  0.5000  0.0000  0.5000  6 Se 2.92-2.93
Sc  0.5000  0.5000  0.0000  6 Se 2.75-2.78
Se  0.2443  0.5000  0.2290  1 Sc 2.75, 3 Li 2.77-2.93, 2 Nd 2.92
Se  0.2537  0.0000  0.7684  3 Li 2.76-2.91, 2 Sc 2.78, 1 Nd 2.93
Se  0.7463  0.0000  0.2316  3 Li 2.76-2.91, 2 Sc 2.78, 1 Nd 2.93
Se  0.7557  0.5000  0.7710  1 Sc 2.75, 3 Li 2.77-2.93, 2 Nd 2.92



The following is a PBE-GGA calculation of a relaxed LiNdSc2Se4 crystal, from the Alexandria database.

- formation energy from raw total energies (eV per formula unit) = -13.2
- SG = P2/m, No. 10

Cell lengths 6.8614, 3.9574, 6.9906 Å; angles 90.00, 108.89, 90.00 degrees
Last column: nearest neighbours and their distance in Å.
Positions (direct):
Li  0.0000  0.0000  0.0000  6 Se 2.83-2.86
Nd  0.5000  0.5000  0.0000  6 Se 2.92-2.93
Sc  0.0000  0.5000  0.5000  6 Se 2.71-2.72
Sc  0.5000  0.0000  0.5000  6 Se 2.80-2.82
Se  0.2319  0.0000  0.7315  3 Sc 2.72-2.82, 1 Li 2.83, 2 Nd 2.93
Se  0.2459  0.5000  0.2640  3 Sc 2.71-2.80, 2 Li 2.86, 1 Nd 2.92
Se  0.7541  0.5000  0.7360  3 Sc 2.71-2.80, 2 Li 2.86, 1 Nd 2.92
Se  0.7681  0.0000  0.2685  3 Sc 2.72-2.82, 1 Li 2.83, 2 Nd 2.93



The following is a PBE-GGA calculation of a relaxed LiNdScSe3 crystal, from the Alexandria database.

- formation energy from raw total energies (eV per formula unit) = -9.7
- SG = P2_1/m, No. 11

Cell lengths 8.1529, 3.9557, 8.7655 Å; angles 90.00, 104.54, 90.00 degrees
Last column: nearest neighbours and their distance in Å.
Positions (direct):
Li  0.0905  0.2500  0.0899  4 Se 2.46-2.56, 2 Li 2.72
Li  0.9095  0.7500  0.9101  4 Se 2.46-2.56, 2 Li 2.72
Nd  0.1977  0.2500  0.7344  7 Se 2.97-3.10
Nd  0.8023  0.7500  0.2656  7 Se 2.97-3.10
Sc  0.3344  0.7500  0.3446  6 Se 2.71-2.84
Sc  0.6656  0.2500  0.6554  6 Se 2.71-2.84
Se  0.1010  0.2500  0.3733  1 Li 2.46
Se  0.2333  0.7500  0.0100  3 Li 2.48-2.56
Se  0.4425  0.7500  0.6682  3 Sc 2.71-2.75, 2 Nd 2.97
Se  0.5575  0.2500  0.3318  3 Sc 2.71-2.75, 2 Nd 2.97
Se  0.7667  0.2500  0.9900  3 Li 2.48-2.56
Se  0.8990  0.7500  0.6267  1 Li 2.46



The following is a PBE-GGA calculation of a relaxed Li3Nd2ScSe6 crystal, from the Alexandria database.

- formation energy from raw total energies (eV per formula unit) = -19.5
- SG = C2/m, No. 12

Cell lengths 7.1141, 7.1141, 6.8999 Å; angles 99.77, 99.77, 120.08 degrees
Last column: nearest neighbours and their distance in Å.
Positions (direct):
Li  0.0000  0.0000  0.0000  6 Se 2.80-2.98
Li  0.3409  0.6591  0.0000  6 Se 2.76-3.05
Li  0.6591  0.3409  0.0000  6 Se 2.76-3.05
Nd  0.1674  0.8326  0.5000  6 Se 2.94-2.95
Nd  0.8326  0.1674  0.5000  6 Se 2.94-2.95
Sc  0.5000  0.5000  0.5000  6 Se 2.76-2.77
Se  0.1027  0.4157  0.2453  1 Sc 2.77, 3 Li 2.79-3.05, 2 Nd 2.95
Se  0.2690  0.2690  0.7502  3 Li 2.76-2.98, 1 Sc 2.76, 2 Nd 2.94
Se  0.4157  0.1027  0.2453  1 Sc 2.77, 3 Li 2.79-3.05, 2 Nd 2.95
Se  0.5843  0.8973  0.7547  1 Sc 2.77, 3 Li 2.79-3.05, 2 Nd 2.95
Se  0.7310  0.7310  0.2498  3 Li 2.76-2.98, 1 Sc 2.76, 2 Nd 2.94
Se  0.8973  0.5843  0.7547  1 Sc 2.77, 3 Li 2.79-3.05, 2 Nd 2.95



The following is a PBE-GGA calculation of a relaxed Li3NdSc2Se6 crystal, from the Alexandria database.

- formation energy from raw total energies (eV per formula unit) = -19.3
- SG = C2/m, No. 12

Cell lengths 6.9073, 6.9073, 6.8553 Å; angles 99.70, 99.70, 120.04 degrees
Last column: nearest neighbours and their distance in Å.
Positions (direct):
Li  0.0000  0.0000  0.0000  6 Se 2.70-2.88
Li  0.3345  0.6655  0.0000  6 Se 2.71-2.89
Li  0.6655  0.3345  0.0000  6 Se 2.71-2.89
Nd  0.5000  0.5000  0.5000  6 Se 2.92-2.93
Sc  0.1671  0.8329  0.5000  6 Se 2.74-2.76
Sc  0.8329  0.1671  0.5000  6 Se 2.74-2.76
Se  0.0632  0.4173  0.2530  3 Li 2.71-2.89, 2 Sc 2.74, 1 Nd 2.92
Se  0.2295  0.2295  0.7498  3 Li 2.70-2.86, 2 Sc 2.76, 1 Nd 2.93
Se  0.4173  0.0632  0.2530  3 Li 2.71-2.89, 2 Sc 2.74, 1 Nd 2.92
Se  0.5827  0.9368  0.7470  3 Li 2.71-2.89, 2 Sc 2.74, 1 Nd 2.92
Se  0.7705  0.7705  0.2502  3 Li 2.70-2.86, 2 Sc 2.76, 1 Nd 2.93
Se  0.9368  0.5827  0.7470  3 Li 2.71-2.89, 2 Sc 2.74, 1 Nd 2.92